Na2MoPO6: relaxed, PBE with a Hubbard U.

Summary:
**M_tot**: 1.00 μB per formula unit
**SG**: P4mm, No. 99
**Electronic total energy**: -6.232 eV per atom
**Density**: 3.68 g/cm³

Cell: 4.9966 4.9966 4.8566 Å, 90.00 90.00 90.00°
Positions (direct):
Na1 0.0000 0.5000 0.0000
Na2 0.5000 0.0000 0.0000
Mo1 0.0000 0.0000 0.5319
P1 0.5000 0.5000 0.5514
O1 0.0000 0.0000 0.1707
O2 0.2697 0.2697 0.6527
O3 0.2697 0.7303 0.6527
O4 0.5000 0.5000 0.2346
O5 0.7303 0.2697 0.6527
O6 0.7303 0.7303 0.6527